TbTl3W2O9 | PBE with a Hubbard U | optimized geometry

DOS(E_F) (states/eV per atom): 0.00
V (Å³ per atom): 14.67
Energy (eV per atom): -6.608

Cell: 5.8976 5.8976 7.3053 Å, 90.00 90.00 120.00°
Space group P-3m1 (No. 164)
Unique sites:
Tb 0.0000 0.0000 0.0000
Tl 0.0000 0.0000 0.5000
Tl 0.3333 0.6667 0.1695
W 0.3333 0.6667 0.6628
O 0.0000 0.5000 0.5000
O 0.1794 0.3588 0.8082